[1]
# ZrSc2Cd | Alexandria via LeMat-Bulk | GGA-PBE | relaxed
data_ZrSc2Cd
_symmetry_space_group_name_H-M 'P 1'
_symmetry_Int_Tables_number 1
_symmetry_space_group_name_Hall 'P 1'
_cell_length_a 4.3984
_cell_length_b 3.2521
_cell_length_c 7.2123
_cell_angle_alpha 63.18
_cell_angle_beta 90.00
_cell_angle_gamma 90.00
loop_
_atom_site_label
_atom_site_type_symbol
_atom_site_fract_x
_atom_site_fract_y
_atom_site_fract_z
Cd1 Cd 0.5000 0.7500 0.7500
Sc1 Sc 0.0000 0.5062 0.4936
Zr1 Zr 0.5000 0.2500 0.2500
Sc2 Sc 0.0000 0.9938 0.0064
# Formation energy from the elements ... -79 meV/atom
# DFT total energy ... -22.44 eV per formula unit
# E above lowest polymorph ... 93.4 meV/atom
# DOS(E_F) ... 6.69 states/eV/f.u.

[2]
# EuTaSn2 | Alexandria via LeMat-Bulk | GGA-PBE | relaxed
data_EuTaSn2
_symmetry_space_group_name_H-M 'P 1'
_symmetry_Int_Tables_number 1
_symmetry_space_group_name_Hall 'P 1'
_cell_length_a 3.2570
_cell_length_b 3.2570
_cell_length_c 11.4183
_cell_angle_alpha 81.80
_cell_angle_beta 81.80
_cell_angle_gamma 60.00
loop_
_atom_site_label
_atom_site_type_symbol
_atom_site_fract_x
_atom_site_fract_y
_atom_site_fract_z
Sn1 Sn 0.9032 0.9032 0.2905
Eu1 Eu 0.0000 0.0000 0.0000
Sn2 Sn 0.0968 0.0968 0.7095
Ta1 Ta 0.5000 0.5000 0.5000
# Formation energy from the elements ... 195 meV/atom
# DFT total energy ... -29.35 eV per formula unit
# DOS(E_F) ... 2.05 states/eV/f.u.

[3]
# LiAlTc2H | Alexandria via LeMat-Bulk | GGA-PBE | relaxed
data_LiAlTc2H
_symmetry_space_group_name_H-M 'P 1'
_symmetry_Int_Tables_number 1
_symmetry_space_group_name_Hall 'P 1'
_cell_length_a 3.8075
_cell_length_b 3.8075
_cell_length_c 4.0729
_cell_angle_alpha 90.00
_cell_angle_beta 90.00
_cell_angle_gamma 90.00
loop_
_atom_site_label
_atom_site_type_symbol
_atom_site_fract_x
_atom_site_fract_y
_atom_site_fract_z
Tc1 Tc 0.5000 0.0000 0.0000
Tc2 Tc 0.0000 0.5000 0.0000
H1 H 0.0000 0.0000 0.0000
Al1 Al 0.5000 0.5000 0.5000
Li1 Li 0.0000 0.0000 0.5000
# DFT total energy ... -29.64 eV per formula unit
# DOS(E_F) ... 4.36 states/eV/f.u.

[4]
# La2NdY6Ho | Alexandria via LeMat-Bulk | GGA-PBE | relaxed
data_La2NdY6Ho
_symmetry_space_group_name_H-M 'P 1'
_symmetry_Int_Tables_number 1
_symmetry_space_group_name_Hall 'P 1'
_cell_length_a 9.9837
_cell_length_b 8.7908
_cell_length_c 8.7908
_cell_angle_alpha 117.38
_cell_angle_beta 95.64
_cell_angle_gamma 95.64
loop_
_atom_site_label
_atom_site_type_symbol
_atom_site_fract_x
_atom_site_fract_y
_atom_site_fract_z
La1 La 0.9553 0.7144 0.8074
Y1 Y 0.8834 0.3025 0.5120
Y2 Y 0.3123 0.9809 0.4232
Y3 Y 0.3834 0.5120 0.3025
Ho1 Ho 0.7500 0.5958 0.4042
La2 La 0.5447 0.1926 0.2856
Y4 Y 0.4429 0.2660 0.8829
La3 La 0.0447 0.2856 0.1926
Ho2 Ho 0.2500 0.4042 0.5958
Nd1 Nd 0.2500 0.9868 0.0132
Y5 Y 0.6166 0.4880 0.6975
Y6 Y 0.5571 0.7340 0.1171
Y7 Y 0.1877 0.5768 0.0191
Y8 Y 0.0571 0.1171 0.7340
Y9 Y 0.9429 0.8829 0.2660
La4 La 0.4553 0.8074 0.7144
Y10 Y 0.1166 0.6975 0.4880
Y11 Y 0.6877 0.0191 0.5768
Nd2 Nd 0.7500 0.0132 0.9868
Y12 Y 0.8123 0.4232 0.9809
# Formation energy from the elements ... 113 meV/atom
# DFT total energy ... -56.86 eV per formula unit
# DOS(E_F) ... 15.11 states/eV/f.u.